No. 1
! Mn2Au3, PBEsol geometry, DFT meta-GGA SCAN; values from VASP
! E_tot = -246.2 eV per formula unit
! Density of states at the Fermi level = 0.290 states/eV per atom
! ΔH_f (0 K) = -43.4 kJ/mol of atoms
&SYSTEM
  ibrav = 0, nat = 5, ntyp = 2
/
ATOMIC_SPECIES
Mn 54.94 Mn.upf
Au 196.97 Au.upf
ATOMIC_POSITIONS crystal
Mn 0.103 0.103 0.000
Mn 0.897 0.897 0.000
Au 0.305 0.305 0.000
Au 0.500 0.500 0.000
Au 0.695 0.695 0.000
CELL_PARAMETERS angstrom
-1.628 1.685 7.215
1.628 -1.685 7.215
1.628 1.685 -7.215

---

No. 2
! TlIn2Ga2, PBEsol geometry, DFT meta-GGA SCAN; values from VASP
! E_tot = -171.3 eV per formula unit
! Density of states at the Fermi level = 0.369 states/eV per atom
! ΔH_f (0 K) = 9.7 kJ/mol of atoms
&SYSTEM
  ibrav = 0, nat = 10, ntyp = 3
/
ATOMIC_SPECIES
Tl 204.38 Tl.upf
In 114.82 In.upf
Ga 69.72 Ga.upf
ATOMIC_POSITIONS crystal
Tl 0.000 0.000 0.000
Tl 0.500 0.500 0.000
In 0.146 0.354 0.000
In 0.354 0.854 0.000
In 0.646 0.146 0.000
In 0.854 0.646 0.000
Ga 0.150 0.650 0.500
Ga 0.350 0.150 0.500
Ga 0.650 0.850 0.500
Ga 0.850 0.350 0.500
CELL_PARAMETERS angstrom
8.614 0.000 0.000
0.000 8.614 0.000
0.000 0.000 3.136

---

No. 3
! CuPdO2, PBEsol geometry, DFT meta-GGA SCAN; values from VASP
! E_tot = -63.2 eV per formula unit
! Density of states at the Fermi level = 0.284 states/eV per atom
! Raw formation energy = -67.7 kJ per mole of atoms
&SYSTEM
  ibrav = 0, nat = 4, ntyp = 3
/
ATOMIC_SPECIES
Cu 63.55 Cu.upf
Pd 106.42 Pd.upf
O 16.00 O.upf
ATOMIC_POSITIONS crystal
Cu 0.000 0.000 0.000
Pd 0.500 0.500 0.500
O 0.500 0.000 0.242
O 0.500 0.000 0.758
CELL_PARAMETERS angstrom
2.916 0.000 0.000
0.000 3.005 0.000
0.000 0.000 5.236